{
  "formula": "Hf2SiH2",
  "functional": "GGA-PBE",
  "state": "optimized geometry",
  "lattice_angstrom": [[0.000, 4.483, 4.589], [3.086, 0.000, 4.589], [3.086, 4.483, 0.000]],
  "species": ["Hf", "Hf", "Hf", "Hf", "Si", "Si", "H", "H", "H", "H"],
  "frac_coords": [[0.087, 0.663, 0.087], [0.337, 0.913, 0.337], [0.663, 0.087, 0.663], [0.913, 0.337, 0.913], [0.375, 0.375, 0.375], [0.625, 0.625, 0.625], [0.012, 0.012, 0.238], [0.238, 0.238, 0.012], [0.762, 0.762, 0.988], [0.988, 0.988, 0.762]],
  "polymorph_energy_mev_per_atom": 34,
  "magnetic_moment_mub_per_cell": 0.000,
  "total_energy_ev_per_cell": -67.966
}

***

{
  "formula": "Ca3Sm2HfAs6",
  "functional": "GGA-PBE",
  "state": "optimized geometry",
  "lattice_angstrom": [[3.579, -6.208, 0.000], [3.579, 6.208, 0.000], [-2.405, 0.000, 6.904]],
  "species": ["Ca", "Ca", "Ca", "Sm", "Sm", "Hf", "As", "As", "As", "As", "As", "As"],
  "frac_coords": [[0.000, 0.000, 0.000], [0.328, 0.672, 0.000], [0.672, 0.328, 0.000], [0.166, 0.834, 0.500], [0.834, 0.166, 0.500], [0.500, 0.500, 0.500], [0.108, 0.422, 0.266], [0.266, 0.266, 0.736], [0.422, 0.108, 0.266], [0.578, 0.892, 0.734], [0.734, 0.734, 0.264], [0.892, 0.578, 0.734]],
  "delta_e_f_ev_per_atom": -1.176,
  "magnetic_moment_mub_per_cell": 0.000,
  "total_energy_ev_per_cell": -67.402
}

***

{
  "formula": "CuTc2As2",
  "functional": "GGA-PBE",
  "state": "optimized geometry",
  "lattice_angstrom": [[6.997, 0.000, 0.000], [0.000, 6.997, 0.000], [0.000, 0.000, 3.098]],
  "species": ["Cu", "Cu", "Tc", "Tc", "Tc", "Tc", "As", "As", "As", "As"],
  "frac_coords": [[0.000, 0.000, 0.000], [0.500, 0.500, 0.000], [0.145, 0.355, 0.000], [0.355, 0.855, 0.000], [0.645, 0.145, 0.000], [0.855, 0.645, 0.000], [0.153, 0.653, 0.500], [0.347, 0.153, 0.500], [0.653, 0.847, 0.500], [0.847, 0.347, 0.500]],
  "delta_e_f_ev_per_atom": 0.053,
  "polymorph_energy_mev_per_atom": 0,
  "magnetic_moment_mub_per_cell": 0.000,
  "total_energy_ev_per_cell": -67.722
}

***

{
  "formula": "BaSr2Mg",
  "functional": "GGA-PBE",
  "state": "optimized geometry",
  "lattice_angstrom": [[4.216, 0.000, 0.000], [0.000, 4.216, 0.000], [0.000, 0.000, 10.856]],
  "species": ["Ba", "Sr", "Sr", "Mg"],
  "frac_coords": [[0.000, 0.000, 0.000], [0.500, 0.500, 0.308], [0.500, 0.500, 0.692], [0.000, 0.000, 0.500]],
  "delta_e_f_ev_per_atom": -0.010,
  "magnetic_moment_mub_per_cell": 0.000,
  "total_energy_ev_per_cell": -6.922
}

***

{
  "formula": "Li8TbZn4",
  "functional": "GGA-PBE",
  "state": "optimized geometry",
  "lattice_angstrom": [[-4.646, 4.646, 2.632], [4.646, -4.646, 2.632], [4.646, 4.646, -2.632]],
  "species": ["Li", "Li", "Li", "Li", "Li", "Li", "Li", "Li", "Tb", "Zn", "Zn", "Zn", "Zn"],
  "frac_coords": [[0.000, 0.220, 0.220], [0.000, 0.780, 0.780], [0.152, 0.500, 0.652], [0.220, 0.000, 0.220], [0.500, 0.152, 0.652], [0.500, 0.848, 0.348], [0.780, 0.000, 0.780], [0.848, 0.500, 0.348], [0.500, 0.500, 0.000], [0.000, 0.000, 0.500], [0.000, 0.500, 0.000], [0.500, 0.000, 0.000], [0.500, 0.500, 0.500]],
  "delta_e_f_ev_per_atom": -0.118,
  "magnetic_moment_mub_per_cell": 0.000,
  "total_energy_ev_per_cell": -26.565
}

***

{
  "formula": "LaY2Th3P6",
  "functional": "GGA-PBE",
  "state": "optimized geometry",
  "lattice_angstrom": [[3.581, -6.193, 0.000], [3.581, 6.193, 0.000], [-2.389, 0.000, 6.702]],
  "species": ["La", "Y", "Y", "Th", "Th", "Th", "P", "P", "P", "P", "P", "P"],
  "frac_coords": [[0.000, 0.000, 0.000], [0.333, 0.667, 0.000], [0.667, 0.333, 0.000], [0.165, 0.835, 0.500], [0.500, 0.500, 0.500], [0.835, 0.165, 0.500], [0.083, 0.424, 0.250], [0.258, 0.258, 0.752], [0.424, 0.083, 0.250], [0.576, 0.917, 0.750], [0.742, 0.742, 0.248], [0.917, 0.576, 0.750]],
  "delta_e_f_ev_per_atom": -1.582,
  "magnetic_moment_mub_per_cell": 0.000,
  "total_energy_ev_per_cell": -91.563
}

***

{
  "formula": "RbAcSn2Br8",
  "functional": "GGA-PBE",
  "state": "optimized geometry",
  "lattice_angstrom": [[6.982, 0.000, 0.000], [0.241, 7.439, 0.000], [0.536, 0.628, 9.651]],
  "species": ["Rb", "Ac", "Sn", "Sn", "Br", "Br", "Br", "Br", "Br", "Br", "Br", "Br"],
  "frac_coords": [[0.000, 0.000, 0.000], [0.000, 0.000, 0.500], [0.492, 0.488, 0.243], [0.508, 0.512, 0.757], [0.245, 0.828, 0.273], [0.250, 0.337, 0.471], [0.264, 0.851, 0.724], [0.272, 0.375, 0.043], [0.728, 0.625, 0.957], [0.736, 0.149, 0.276], [0.750, 0.663, 0.529], [0.755, 0.172, 0.727]],
  "magnetic_moment_mub_per_cell": 0.000,
  "total_energy_ev_per_cell": -42.420
}

***

{
  "formula": "HoTc2B2",
  "functional": "GGA-PBE",
  "state": "optimized geometry",
  "lattice_angstrom": [[4.271, 0.000, 0.000], [0.000, 3.196, 0.000], [-0.972, 0.000, 9.665]],
  "species": ["Ho", "Ho", "Tc", "Tc", "Tc", "Tc", "B", "B", "B", "B"],
  "frac_coords": [[0.194, 0.250, 0.243], [0.806, 0.750, 0.757], [0.249, 0.750, 0.498], [0.346, 0.250, 0.906], [0.654, 0.750, 0.094], [0.751, 0.250, 0.502], [0.123, 0.750, 0.017], [0.285, 0.250, 0.661], [0.715, 0.750, 0.339], [0.877, 0.250, 0.983]],
  "delta_e_f_ev_per_atom": -0.372,
  "magnetic_moment_mub_per_cell": 0.000,
  "total_energy_ev_per_cell": -81.051
}

***

{
  "formula": "Dy2PuCuO8",
  "functional": "GGA-PBE",
  "state": "optimized geometry",
  "lattice_angstrom": [[4.135, 0.000, 0.000], [0.846, 5.144, 0.000], [0.474, 1.117, 7.296]],
  "species": ["Dy", "Dy", "Pu", "Cu", "O", "O", "O", "O", "O", "O", "O", "O"],
  "frac_coords": [[0.024, 0.052, 0.228], [0.976, 0.948, 0.772], [0.500, 0.500, 0.500], [0.500, 0.500, 0.000], [0.078, 0.730, 0.516], [0.147, 0.753, 0.041], [0.415, 0.219, 0.684], [0.455, 0.307, 0.236], [0.545, 0.693, 0.764], [0.585, 0.781, 0.316], [0.853, 0.247, 0.959], [0.922, 0.270, 0.484]],
  "magnetic_moment_mub_per_cell": 0.958,
  "total_energy_ev_per_cell": -96.054
}

***

{
  "formula": "AcLaSn",
  "functional": "GGA-PBE",
  "state": "optimized geometry",
  "lattice_angstrom": [[-2.447, 2.447, 9.126], [2.447, -2.447, 9.126], [2.447, 2.447, -9.126]],
  "species": ["Ac", "Ac", "La", "La", "Sn", "Sn"],
  "frac_coords": [[0.180, 0.180, 0.000], [0.820, 0.820, 0.000], [0.000, 0.500, 0.500], [0.500, 0.000, 0.500], [0.369, 0.369, 0.000], [0.631, 0.631, 0.000]],
  "delta_e_f_ev_per_atom": -0.601,
  "polymorph_energy_mev_per_atom": 0,
  "magnetic_moment_mub_per_cell": 0.613,
  "total_energy_ev_per_cell": -29.684
}

***

{
  "formula": "Ac3CoAg",
  "functional": "GGA-PBE",
  "state": "optimized geometry",
  "lattice_angstrom": [[5.557, 0.000, 0.000], [0.000, 5.557, 0.000], [0.000, 0.000, 5.557]],
  "species": ["Ac", "Ac", "Ac", "Co", "Ag"],
  "frac_coords": [[0.000, 0.000, 0.500], [0.000, 0.500, 0.000], [0.500, 0.000, 0.000], [0.000, 0.000, 0.000], [0.500, 0.500, 0.500]],
  "delta_e_f_ev_per_atom": -0.007,
  "polymorph_energy_mev_per_atom": 126,
  "magnetic_moment_mub_per_cell": 0.000,
  "total_energy_ev_per_cell": -22.318
}

***

{
  "formula": "LaAsOs2",
  "functional": "GGA-PBE",
  "state": "optimized geometry",
  "lattice_angstrom": [[3.078, 0.000, 0.000], [0.000, 3.078, 0.000], [0.000, 0.000, 7.802]],
  "species": ["La", "As", "Os", "Os"],
  "frac_coords": [[0.000, 0.000, 0.000], [0.500, 0.500, 0.681], [0.000, 0.000, 0.495], [0.500, 0.500, 0.282]],
  "delta_e_f_ev_per_atom": 0.154,
  "magnetic_moment_mub_per_cell": 0.000,
  "total_energy_ev_per_cell": -31.419
}

***

{
  "formula": "ScAlCoAu",
  "functional": "GGA-PBE",
  "state": "optimized geometry",
  "lattice_angstrom": [[0.000, 3.164, 3.164], [3.164, 0.000, 3.164], [3.164, 3.164, 0.000]],
  "species": ["Sc", "Al", "Co", "Au"],
  "frac_coords": [[0.000, 0.000, 0.000], [0.500, 0.500, 0.500], [0.750, 0.750, 0.750], [0.250, 0.250, 0.250]],
  "delta_e_f_ev_per_atom": -0.485,
  "magnetic_moment_mub_per_cell": 0.818,
  "total_energy_ev_per_cell": -22.397
}

***

{
  "formula": "DyTh4Sb5",
  "functional": "GGA-PBE",
  "state": "optimized geometry",
  "lattice_angstrom": [[-2.241, 3.170, 11.219], [2.241, -3.170, 11.219], [2.241, 3.170, -11.219]],
  "species": ["Dy", "Th", "Th", "Th", "Th", "Sb", "Sb", "Sb", "Sb", "Sb"],
  "frac_coords": [[0.000, 0.000, 0.000], [0.199, 0.199, 0.000], [0.400, 0.400, 0.000], [0.600, 0.600, 0.000], [0.801, 0.801, 0.000], [0.096, 0.596, 0.500], [0.299, 0.799, 0.500], [0.500, 0.000, 0.500], [0.701, 0.201, 0.500], [0.904, 0.404, 0.500]],
  "magnetic_moment_mub_per_cell": 0.000,
  "total_energy_ev_per_cell": -64.388
}

***

{
  "formula": "NbMoS4",
  "functional": "GGA-PBE",
  "state": "optimized geometry",
  "lattice_angstrom": [[5.799, 0.000, 0.000], [0.000, 5.553, 0.000], [0.000, 0.000, 6.972]],
  "species": ["Nb", "Nb", "Mo", "Mo", "S", "S", "S", "S", "S", "S", "S", "S"],
  "frac_coords": [[0.000, 0.000, 0.000], [0.000, 0.500, 0.500], [0.500, 0.000, 0.183], [0.500, 0.500, 0.683], [0.179, 0.225, 0.711], [0.179, 0.275, 0.211], [0.334, 0.734, 0.961], [0.334, 0.766, 0.461], [0.666, 0.234, 0.461], [0.666, 0.266, 0.961], [0.821, 0.725, 0.211], [0.821, 0.775, 0.711]],
  "polymorph_energy_mev_per_atom": 224,
  "magnetic_moment_mub_per_cell": 0.000,
  "total_energy_ev_per_cell": -83.384
}

***

{
  "formula": "BaTc3Ge",
  "functional": "GGA-PBE",
  "state": "optimized geometry",
  "lattice_angstrom": [[5.093, 0.000, 0.000], [0.000, 5.093, 0.000], [0.000, 0.000, 5.093]],
  "species": ["Ba", "Tc", "Tc", "Tc", "Ge"],
  "frac_coords": [[0.000, 0.000, 0.000], [0.000, 0.000, 0.500], [0.000, 0.500, 0.000], [0.500, 0.000, 0.000], [0.500, 0.500, 0.500]],
  "delta_e_f_ev_per_atom": 2.930,
  "polymorph_energy_mev_per_atom": 1857,
  "magnetic_moment_mub_per_cell": 6.732,
  "total_energy_ev_per_cell": -22.989
}

***

{
  "formula": "Sr3H12Pt5",
  "functional": "GGA-PBE",
  "state": "optimized geometry",
  "lattice_angstrom": [[-6.163, 6.163, 6.163], [6.163, -6.163, 6.163], [6.163, 6.163, -6.163]],
  "species": ["Sr", "Sr", "Sr", "Sr", "Sr", "Sr", "Sr", "Sr", "Sr", "Sr", "Sr", "Sr", "H", "H", "H", "H", "H", "H", "H", "H", "H", "H", "H", "H", "H", "H", "H", "H", "H", "H", "H", "H", "H", "H", "H", "H", "H", "H", "H", "H", "H", "H", "H", "H", "H", "H", "H", "H", "H", "H", "H", "H", "H", "H", "H", "H", "H", "H", "H", "H", "Pt", "Pt", "Pt", "Pt", "Pt", "Pt", "Pt", "Pt", "Pt", "Pt", "Pt", "Pt", "Pt", "Pt", "Pt", "Pt", "Pt", "Pt", "Pt", "Pt"],
  "frac_coords": [[0.125, 0.250, 0.375], [0.125, 0.375, 0.750], [0.250, 0.375, 0.125], [0.250, 0.875, 0.625], [0.375, 0.125, 0.250], [0.375, 0.750, 0.125], [0.625, 0.250, 0.875], [0.625, 0.875, 0.750], [0.750, 0.125, 0.375], [0.750, 0.625, 0.875], [0.875, 0.625, 0.250], [0.875, 0.750, 0.625], [0.008, 0.678, 0.098], [0.008, 0.830, 0.910], [0.080, 0.670, 0.678], [0.080, 0.910, 0.402], [0.090, 0.598, 0.920], [0.090, 0.992, 0.170], [0.098, 0.008, 0.678], [0.098, 0.590, 0.420], [0.170, 0.090, 0.992], [0.170, 0.580, 0.178], [0.178, 0.170, 0.580], [0.178, 0.508, 0.598], [0.322, 0.902, 0.992], [0.322, 0.920, 0.330], [0.330, 0.322, 0.920], [0.330, 0.508, 0.410], [0.402, 0.080, 0.910], [0.402, 0.822, 0.492], [0.410, 0.330, 0.508], [0.410, 0.580, 0.902], [0.420, 0.098, 0.590], [0.420, 0.822, 0.830], [0.492, 0.402, 0.822], [0.492, 0.590, 0.670], [0.508, 0.410, 0.330], [0.508, 0.598, 0.178], [0.580, 0.178, 0.170], [0.580, 0.902, 0.410], [0.590, 0.420, 0.098], [0.590, 0.670, 0.492], [0.598, 0.178, 0.508], [0.598, 0.920, 0.090], [0.670, 0.492, 0.590], [0.670, 0.678, 0.080], [0.678, 0.080, 0.670], [0.678, 0.098, 0.008], [0.822, 0.492, 0.402], [0.822, 0.830, 0.420], [0.830, 0.420, 0.822], [0.830, 0.910, 0.008], [0.902, 0.410, 0.580], [0.902, 0.992, 0.322], [0.910, 0.008, 0.830], [0.910, 0.402, 0.080], [0.920, 0.090, 0.598], [0.920, 0.330, 0.322], [0.992, 0.170, 0.090], [0.992, 0.322, 0.902], [0.000, 0.000, 0.000], [0.000, 0.000, 0.500], [0.000, 0.500, 0.000], [0.000, 0.500, 0.500], [0.125, 0.750, 0.875], [0.125, 0.875, 0.250], [0.250, 0.125, 0.875], [0.250, 0.625, 0.375], [0.375, 0.250, 0.625], [0.375, 0.625, 0.750], [0.500, 0.000, 0.000], [0.500, 0.000, 0.500], [0.500, 0.500, 0.000], [0.500, 0.500, 0.500], [0.625, 0.375, 0.250], [0.625, 0.750, 0.375], [0.750, 0.375, 0.625], [0.750, 0.875, 0.125], [0.875, 0.125, 0.750], [0.875, 0.250, 0.125]],
  "magnetic_moment_mub_per_cell": 0.000,
  "total_energy_ev_per_cell": -326.023
}

***

{
  "formula": "Li2ZnCl",
  "functional": "GGA-PBE",
  "state": "optimized geometry",
  "lattice_angstrom": [[3.239, 0.000, 0.000], [0.000, 3.276, 0.000], [0.000, 0.000, 7.877]],
  "species": ["Li", "Li", "Zn", "Cl"],
  "frac_coords": [[0.000, 0.000, 0.000], [0.500, 0.500, 0.404], [0.500, 0.500, 0.791], [0.000, 0.000, 0.303]],
  "polymorph_energy_mev_per_atom": 67,
  "magnetic_moment_mub_per_cell": 0.000,
  "total_energy_ev_per_cell": -9.770
}

***

{
  "formula": "P2Rh",
  "functional": "GGA-PBE",
  "state": "optimized geometry",
  "lattice_angstrom": [[4.211, 0.000, 0.000], [-2.105, 3.647, 0.000], [0.000, 0.000, 2.742]],
  "species": ["P", "P", "Rh"],
  "frac_coords": [[0.333, 0.667, 0.000], [0.667, 0.333, 0.000], [0.000, 0.000, 0.500]],
  "delta_e_f_ev_per_atom": 0.375,
  "magnetic_moment_mub_per_cell": 0.000,
  "total_energy_ev_per_cell": -17.045
}

***

{
  "formula": "Ca2ZnFe",
  "functional": "GGA-PBE",
  "state": "optimized geometry",
  "lattice_angstrom": [[3.405, -1.640, 0.000], [3.405, 1.640, 0.000], [-1.366, 0.000, 8.986]],
  "species": ["Ca", "Ca", "Zn", "Fe"],
  "frac_coords": [[0.249, 0.249, 0.266], [0.751, 0.751, 0.734], [0.500, 0.500, 0.000], [0.000, 0.000, 0.500]],
  "delta_e_f_ev_per_atom": 0.442,
  "magnetic_moment_mub_per_cell": 2.313,
  "total_energy_ev_per_cell": -11.971
}

***

{
  "formula": "Nb4FeRe",
  "functional": "GGA-PBE",
  "state": "optimized geometry",
  "lattice_angstrom": [[4.583, 0.000, 0.000], [0.000, 4.056, 0.000], [-1.034, 0.000, 6.087]],
  "species": ["Nb", "Nb", "Nb", "Nb", "Fe", "Re"],
  "frac_coords": [[0.012, 0.000, 0.265], [0.476, 0.500, 0.740], [0.524, 0.500, 0.260], [0.988, 0.000, 0.735], [0.500, 0.000, 0.500], [0.000, 0.500, 0.000]],
  "delta_e_f_ev_per_atom": 0.326,
  "magnetic_moment_mub_per_cell": 0.000,
  "total_energy_ev_per_cell": -59.234
}